Record 1
# LuGe

A geometry-optimized LuGe structure (PBE, the Open Quantum Materials Database).

Calculated values
* symmetry: No. 187

abc: 3.538 3.538 4.289
angles: 90.00 90.00 120.00
Positions (direct):
Ge1 0.667 0.333 0.750
Lu1 0.333 0.667 0.250



Record 2
# LuGe

A geometry-optimized LuGe structure (PBE, the Open Quantum Materials Database).

Calculated values
* symmetry: No. 216

abc: 4.544 4.544 4.544
angles: 60.00 60.00 60.00
Positions (direct):
Ge1 0.000 0.000 0.000
Lu1 0.250 0.250 0.250



Record 3
# Lu2Ge

A geometry-optimized Lu2Ge structure (PBE, the Open Quantum Materials Database).

Calculated values
* symmetry: No. 227

abc: 8.732 8.732 8.732
angles: 60.00 60.00 60.00
Positions (direct):
Ge1 0.125 0.125 0.125
Ge2 0.875 0.875 0.875
Lu1 0.000 0.000 0.000
Lu2 0.500 0.000 0.000
Lu3 0.000 0.500 0.000
Lu4 0.000 0.000 0.500



Looking at electronic total energy for the records above, in order, we have -0.3671; -0.3223; -0.2592 Ry per atom.